[1]
Computed, not measured: DyCd2O3 after structural relaxation at the PBE level of DFT.

Properties
SG: P-3m1 (164)
DFT total energy: -0.1957 Ha/atom

Cell lengths 3.457, 3.457, 8.465 Å; angles 90.00, 90.00, 120.00 degrees
Sites, in units of the cell vectors:
Dy1 0.000 0.000 0.000
Cd1 0.333 0.667 0.652
Cd2 0.667 0.333 0.348
O1 0.000 0.000 0.500
O2 0.333 0.667 0.132
O3 0.667 0.333 0.868

***

[2]
Computed, not measured: Dy2Cd2O5 after structural relaxation at the PBE level of DFT.

Properties
SG: P4/mmm (123)
Energy relative to the lowest polymorph listed for this composition: 0 meV per atom

Cell lengths 4.106, 4.106, 8.513 Å; angles 90.00, 90.00, 90.00 degrees
Sites, in units of the cell vectors:
Dy1 0.000 0.000 0.243
Dy2 0.000 0.000 0.757
Cd1 0.500 0.500 0.000
Cd2 0.500 0.500 0.500
O1 0.000 0.000 0.500
O2 0.000 0.500 0.165
O3 0.000 0.500 0.835
O4 0.500 0.000 0.165
O5 0.500 0.000 0.835

***

[3]
Computed, not measured: DyCd3Pb4O12 after structural relaxation at the PBE level of DFT.

Properties
SG: Im-3 (204)
DFT total energy: -0.1924 Ha/atom

Cell lengths 7.142, 7.142, 7.142 Å; angles 109.47, 109.47, 109.47 degrees
Sites, in units of the cell vectors:
Dy1 0.000 0.000 0.000
Cd1 0.000 0.500 0.500
Cd2 0.500 0.000 0.500
Cd3 0.500 0.500 0.000
Pb1 0.000 0.000 0.500
Pb2 0.000 0.500 0.000
Pb3 0.500 0.000 0.000
Pb4 0.500 0.500 0.500
O1 0.118 0.287 0.831
O2 0.169 0.455 0.287
O3 0.169 0.882 0.713
O4 0.287 0.169 0.455
O5 0.287 0.831 0.118
O6 0.455 0.287 0.169
O7 0.545 0.713 0.831
O8 0.713 0.169 0.882
O9 0.713 0.831 0.545
O10 0.831 0.118 0.287
O11 0.831 0.545 0.713
O12 0.882 0.713 0.169

***

[4]
Computed, not measured: DyTa4Cd3O12 after structural relaxation at the PBE level of DFT.

Properties
SG: Im-3 (204)
DFT total energy: -0.2899 Ha/atom

Cell lengths 6.915, 6.915, 6.915 Å; angles 109.47, 109.47, 109.47 degrees
Sites, in units of the cell vectors:
Dy1 0.000 0.000 0.000
Ta1 0.000 0.000 0.500
Ta2 0.000 0.500 0.000
Ta3 0.500 0.000 0.000
Ta4 0.500 0.500 0.500
Cd1 0.000 0.500 0.500
Cd2 0.500 0.000 0.500
Cd3 0.500 0.500 0.000
O1 0.007 0.242 0.765
O2 0.235 0.478 0.242
O3 0.235 0.993 0.758
O4 0.242 0.235 0.478
O5 0.242 0.765 0.007
O6 0.478 0.242 0.235
O7 0.522 0.758 0.765
O8 0.758 0.235 0.993
O9 0.758 0.765 0.522
O10 0.765 0.007 0.242
O11 0.765 0.522 0.758
O12 0.993 0.758 0.235